i.
This record from Alexandria describes FeCo3Ru after structural relaxation. The functional is PBE.

```
data_FeCo3Ru
_cell_length_a 4.377
_cell_length_b 4.377
_cell_length_c 4.377
_cell_angle_alpha 90.00
_cell_angle_beta 90.00
_cell_angle_gamma 90.00
_symmetry_space_group_name_H-M 'P m -3 m'
_symmetry_Int_Tables_number 221
_symmetry_space_group_name_Hall '-P 4 2 3'
loop_
_atom_site_label
_atom_site_fract_x
_atom_site_fract_y
_atom_site_fract_z
Fe1 0.000 0.000 0.000
Co1 0.000 0.500 0.500
Ru1 0.500 0.500 0.500
```

Values from the calculation:
DOS(E_F) in states/eV/atom: 2.3727
Calculated volume in Å³/atom: 16.767

***

ii.
This record from Alexandria describes FeCo3Ru after structural relaxation. The functional is PBE.

```
data_FeCo3Ru
_cell_length_a 4.186
_cell_length_b 4.186
_cell_length_c 4.186
_cell_angle_alpha 90.00
_cell_angle_beta 90.00
_cell_angle_gamma 90.00
_symmetry_space_group_name_H-M 'P m -3 m'
_symmetry_Int_Tables_number 221
_symmetry_space_group_name_Hall '-P 4 2 3'
loop_
_atom_site_label
_atom_site_fract_x
_atom_site_fract_y
_atom_site_fract_z
Fe1 0.000 0.000 0.000
Co1 0.000 0.000 0.500
Ru1 0.500 0.500 0.500
```

Values from the calculation:
DOS(E_F) in states/eV/atom: 1.3075
Calculated volume in Å³/atom: 14.666

***

Which structure is the least stable? The one labeled i.

***

i.
This record from Alexandria describes FeCoS3 after structural relaxation. The functional is PBE.

```
data_FeCoS3
_cell_length_a 4.446
_cell_length_b 4.446
_cell_length_c 4.446
_cell_angle_alpha 90.00
_cell_angle_beta 90.00
_cell_angle_gamma 90.00
_symmetry_space_group_name_H-M 'P m -3 m'
_symmetry_Int_Tables_number 221
_symmetry_space_group_name_Hall '-P 4 2 3'
loop_
_atom_site_label
_atom_site_fract_x
_atom_site_fract_y
_atom_site_fract_z
Fe1 0.000 0.000 0.000
Co1 0.500 0.500 0.500
S1 0.000 0.000 0.500
```

Values from the calculation:
DOS(E_F) in states/eV/atom: 2.4403
Calculated volume in Å³/atom: 17.578

***

ii.
This record from Alexandria describes FeCoS3 after structural relaxation. The functional is PBE.

```
data_FeCoS3
_cell_length_a 3.286
_cell_length_b 17.568
_cell_length_c 4.617
_cell_angle_alpha 90.00
_cell_angle_beta 90.00
_cell_angle_gamma 90.00
_symmetry_space_group_name_H-M 'C m c 21'
_symmetry_Int_Tables_number 36
loop_
_symmetry_equiv_pos_as_xyz
'x,y,z'
'-x,-y,z+1/2'
'-x,y,z'
'x,-y,z+1/2'
'x+1/2,y+1/2,z'
'-x+1/2,-y+1/2,z+1/2'
'-x+1/2,y+1/2,z'
'x+1/2,-y+1/2,z+1/2'
loop_
_atom_site_label
_atom_site_fract_x
_atom_site_fract_y
_atom_site_fract_z
Fe1 0.000 0.173 0.000
Co1 0.000 0.476 0.007
S1 0.000 0.055 0.810
S2 0.000 0.288 0.202
S3 0.000 0.367 0.790
```

Values from the calculation:
DOS(E_F) in states/eV/atom: 0.6245
Calculated volume in Å³/atom: 13.328

***

Which structure is the least stable? The one labeled i.